# 1
VASP calculation (PBE) on a relaxed structure of ScPaSi4.

Its space group is F-43m. As for the uncorrected energy: -6.51 eV per atom. The value obtained for the polymorph energy (0 for the lowest one) is 127 kJ/mol of formula units. Its formation energy (no corrections) is -0.26 eV per atom. The value obtained for the total magnetization is 0.001 μB per formula unit.

a = 5.2140 Å, b = 5.2140 Å, c = 5.2140 Å
α = 60.00°, β = 60.00°, γ = 60.00°
Fractional positions:
Sc: 0.2500 0.2500 0.2500
Si: 0.6221 0.6221 0.1338
Si: 0.6221 0.1338 0.6221
Si: 0.6221 0.6221 0.6221
Si: 0.1338 0.6221 0.6221
Pa: 0.0000 0.0000 0.0000


# 2
VASP calculation (PBE) on a relaxed structure of ScPaSi4.

Its space group is Pmma. As for the uncorrected energy: -6.73 eV per atom. The value obtained for the polymorph energy (0 for the lowest one) is 0 kJ/mol of formula units. Its formation energy (no corrections) is -0.48 eV per atom. The value obtained for the total magnetization is 0.000 μB per formula unit.

a = 3.7824 Å, b = 6.9546 Å, c = 16.2398 Å
α = 90.00°, β = 90.00°, γ = 90.00°
Fractional positions:
Sc: 0.0000 0.7499 0.0603
Sc: 0.0000 0.2501 0.9397
Sc: 0.0000 0.2499 0.4397
Sc: 0.0000 0.7501 0.5603
Pa: 0.0000 0.7498 0.3134
Pa: 0.0000 0.2502 0.6866
Pa: 0.0000 0.2498 0.1866
Pa: 0.0000 0.7502 0.8134
Si: 0.5000 0.9162 0.1869
Si: 0.5000 0.0838 0.8131
Si: 0.5000 0.4162 0.3131
Si: 0.5000 0.5838 0.6869
Si: 0.5000 0.0817 0.0614
Si: 0.5000 0.9183 0.9386
Si: 0.5000 0.5817 0.4386
Si: 0.5000 0.4183 0.5614
Si: 0.5000 0.9182 0.4386
Si: 0.5000 0.0818 0.5614
Si: 0.5000 0.4182 0.0614
Si: 0.5000 0.5818 0.9386
Si: 0.5000 0.0834 0.3131
Si: 0.5000 0.9166 0.6869
Si: 0.5000 0.5834 0.1869
Si: 0.5000 0.4166 0.8131


# 3
VASP calculation (PBE) on a relaxed structure of Sc2PaSi.

Its space group is Fm-3m. As for the uncorrected energy: -6.90 eV per atom. The value obtained for the polymorph energy (0 for the lowest one) is 90 kJ/mol of formula units. Its formation energy (no corrections) is 0.00 eV per atom. The value obtained for the total magnetization is 0.004 μB per formula unit.

a = 4.8701 Å, b = 4.8701 Å, c = 4.8692 Å
α = 59.99°, β = 59.99°, γ = 60.00°
Fractional positions:
Sc: 0.7499 0.7499 0.7502
Sc: 0.2501 0.2501 0.2498
Si: 0.5000 0.5000 0.5000
Pa: 0.0000 0.0000 0.0000


# 4
VASP calculation (PBE) on a relaxed structure of ScPaSi2.

Its space group is Pmc2_1. As for the uncorrected energy: -7.26 eV per atom. The value obtained for the polymorph energy (0 for the lowest one) is 0 kJ/mol of formula units. Its formation energy (no corrections) is -0.59 eV per atom. The value obtained for the total magnetization is 0.000 μB per formula unit.

a = 3.8333 Å, b = 5.5107 Å, c = 7.6085 Å
α = 90.00°, β = 90.00°, γ = 90.00°
Fractional positions:
Sc: 0.0000 0.1318 0.6798
Sc: 0.0000 0.8682 0.1798
Pa: 0.5000 0.3698 0.3196
Pa: 0.5000 0.6302 0.8196
Si: 0.0000 0.6149 0.5397
Si: 0.0000 0.3851 0.0397
Si: 0.5000 0.8801 0.4609
Si: 0.5000 0.1199 0.9609


# 5
VASP calculation (PBE) on a relaxed structure of ScPaSi2.

Its space group is R-3m. As for the uncorrected energy: -7.15 eV per atom. The value obtained for the polymorph energy (0 for the lowest one) is 42 kJ/mol of formula units. Its formation energy (no corrections) is -0.48 eV per atom. The value obtained for the total magnetization is 0.000 μB per formula unit.

a = 4.4277 Å, b = 4.4277 Å, c = 5.4482 Å
α = 66.02°, β = 66.02°, γ = 60.00°
Fractional positions:
Sc: 0.0000 0.0000 0.0000
Si: 0.7376 0.7376 0.7872
Si: 0.2624 0.2624 0.2128
Pa: 0.5000 0.5000 0.5000


# 6
VASP calculation (PBE) on a relaxed structure of Sc2PaSi4.

Its space group is Immm. As for the uncorrected energy: -6.95 eV per atom. Its formation energy (no corrections) is -0.68 eV per atom. The value obtained for the total magnetization is 0.000 μB per formula unit.

a = 3.8466 Å, b = 3.9918 Å, c = 8.8482 Å
α = 103.04°, β = 102.55°, γ = 90.00°
Fractional positions:
Sc: 0.8160 0.8160 0.6320
Sc: 0.1840 0.1840 0.3680
Pa: 0.5000 0.0000 0.0000
Si: 0.6526 0.6526 0.3052
Si: 0.3474 0.3474 0.6948
Si: 0.0679 0.5679 0.1358
Si: 0.9321 0.4321 0.8642


# 7
VASP calculation (PBE) on a relaxed structure of ScPa3Si6.

Its space group is R-3c. As for the uncorrected energy: -7.24 eV per atom. Its formation energy (no corrections) is -0.51 eV per atom. The value obtained for the total magnetization is 0.000 μB per formula unit.

a = 7.3810 Å, b = 7.3810 Å, c = 7.3810 Å
α = 97.51°, β = 97.51°, γ = 97.51°
Fractional positions:
Sc: 0.0000 0.0000 0.0000
Sc: 0.5000 0.5000 0.5000
Pa: 0.1883 0.7500 0.3117
Pa: 0.3117 0.1883 0.7500
Pa: 0.2500 0.6883 0.8117
Pa: 0.7500 0.3117 0.1883
Pa: 0.6883 0.8117 0.2500
Pa: 0.8117 0.2500 0.6883
Si: 0.9101 0.6210 0.9825
Si: 0.0175 0.0899 0.3790
Si: 0.1210 0.4101 0.4825
Si: 0.3790 0.0175 0.0899
Si: 0.4101 0.4825 0.1210
Si: 0.5175 0.8790 0.5899
Si: 0.4825 0.1210 0.4101
Si: 0.5899 0.5175 0.8790
Si: 0.6210 0.9825 0.9101
Si: 0.8790 0.5899 0.5175
Si: 0.9825 0.9101 0.6210
Si: 0.0899 0.3790 0.0175


# 8
VASP calculation (PBE) on a relaxed structure of ScPaSi.

Its space group is P3m1. As for the uncorrected energy: -7.20 eV per atom. The value obtained for the polymorph energy (0 for the lowest one) is 22 kJ/mol of formula units. Its formation energy (no corrections) is -0.11 eV per atom. The value obtained for the total magnetization is 0.000 μB per formula unit.

a = 3.2929 Å, b = 4.7354 Å, c = 4.7354 Å
α = 120.00°, β = 90.00°, γ = 90.00°
Fractional positions:
Sc: 0.5150 0.6667 0.3333
Si: 0.4742 0.3333 0.6667
Pa: 0.0108 0.0000 0.0000


Please write out number 7 again, unchanged.
VASP calculation (PBE) on a relaxed structure of ScPa3Si6.

Its space group is R-3c. As for the uncorrected energy: -7.24 eV per atom. Its formation energy (no corrections) is -0.51 eV per atom. The value obtained for the total magnetization is 0.000 μB per formula unit.

a = 7.3810 Å, b = 7.3810 Å, c = 7.3810 Å
α = 97.51°, β = 97.51°, γ = 97.51°
Fractional positions:
Sc: 0.0000 0.0000 0.0000
Sc: 0.5000 0.5000 0.5000
Pa: 0.1883 0.7500 0.3117
Pa: 0.3117 0.1883 0.7500
Pa: 0.2500 0.6883 0.8117
Pa: 0.7500 0.3117 0.1883
Pa: 0.6883 0.8117 0.2500
Pa: 0.8117 0.2500 0.6883
Si: 0.9101 0.6210 0.9825
Si: 0.0175 0.0899 0.3790
Si: 0.1210 0.4101 0.4825
Si: 0.3790 0.0175 0.0899
Si: 0.4101 0.4825 0.1210
Si: 0.5175 0.8790 0.5899
Si: 0.4825 0.1210 0.4101
Si: 0.5899 0.5175 0.8790
Si: 0.6210 0.9825 0.9101
Si: 0.8790 0.5899 0.5175
Si: 0.9825 0.9101 0.6210
Si: 0.0899 0.3790 0.0175